VASP calculation (PBE with a Hubbard U) on a geometry-optimized RbMnCrF6 structure.

Unit cell a=5.5329 b=5.5505 c=6.0279 alpha=89.98 beta=89.98 gamma=59.88
Closest atoms and distances in Å follow each position.
Element x y z (fractional)
F  0.0257  0.3653  0.3175  1 Cr 1.96, 1 Mn 2.15
F  0.6097  0.3629  0.6828  1 Cr 1.96, 1 Mn 2.16
F  0.0253  0.6093  0.6823  1 Cr 1.96, 1 Mn 2.15
F  0.3637  0.0258  0.6806  1 Cr 1.96, 1 Mn 2.15
F  0.3641  0.6103  0.3193  1 Cr 1.96, 1 Mn 2.15
F  0.6100  0.0272  0.3173  1 Cr 1.96, 1 Mn 2.16
Rb  0.0005  0.9997  0.0000  6 F 2.83-2.84
Mn  0.6669  0.6665  0.5000  6 F 2.15-2.16
Cr  0.3339  0.3331  0.5000  6 F 1.96

Output
SG: C2 (5)
final energy: -0.21360 hartree per atom